First-principles (meta-GGA SCAN) data for Sc2ZnSe4 at its PBEsol-relaxed geometry, as listed in the Alexandria database.

Unit cell a=7.7094 b=7.7094 c=7.7094 alpha=60.00 beta=60.00 gamma=60.00
Fractional coordinates of all 14 atoms:
Sc (0.1250, 0.1250, 0.1250)
Sc (0.1250, 0.1250, 0.6250)
Sc (0.1250, 0.6250, 0.1250)
Sc (0.6250, 0.1250, 0.1250)
Zn (0.7500, 0.7500, 0.7500)
Zn (0.5000, 0.5000, 0.5000)
Se (0.8793, 0.8793, 0.8793)
Se (0.8793, 0.8793, 0.3620)
Se (0.8793, 0.3620, 0.8793)
Se (0.3620, 0.8793, 0.8793)
Se (0.3707, 0.3707, 0.3707)
Se (0.3707, 0.3707, 0.8880)
Se (0.3707, 0.8880, 0.3707)
Se (0.8880, 0.3707, 0.3707)

uncorrected energy	-19.0687	eV per atom
M_tot	0.00	μB/f.u.
uncorrected formation energy	-1.597	eV per atom